# KPmBeSe3

An optimized crystal structure of KPmBeSe3 (GGA-PBE, the Alexandria database).

Values from the calculation:
The value obtained for the volume is 29.19 A^3/atom. The value obtained for the density of states at the Fermi level is 0.00 states/eV per cell. For the final energy, the calculation gives -4.7180 eV/atom. For the formation energy without anion corrections, the calculation gives -1380 meV per atom. The density is 4.1 g cm⁻³. Its space-group type is P2_1/m, No. 11.

a b c (Å): 9.3873 4.0915 9.5251
angles (deg): 90.00 106.79 90.00
Fractional coordinates of all 12 atoms:
K1 0.1938 0.2500 0.2276
K2 0.8062 0.7500 0.7724
Pm1 0.3333 0.7500 0.8478
Pm2 0.6667 0.2500 0.1522
Be1 0.0753 0.2500 0.6027
Be2 0.9247 0.7500 0.3973
Se1 0.1083 0.2500 0.8419
Se2 0.1686 0.7500 0.5233
Se3 0.4506 0.7500 0.1668
Se4 0.5494 0.2500 0.8332
Se5 0.8314 0.2500 0.4767
Se6 0.8917 0.7500 0.1581

---

# KSbOs3

An optimized crystal structure of KSbOs3 (GGA-PBE, the Alexandria database).

Values from the calculation:
The value obtained for the volume is 24.56 A^3/atom. The value obtained for the density of states at the Fermi level is 5.07 states/eV per cell. For the final energy, the calculation gives -5.5495 eV/atom. For the formation energy without anion corrections, the calculation gives 2232 meV per atom. The density is 9.9 g cm⁻³. The calculation puts the relative energy among the computed polymorphs at 0.0 kJ per mole of atoms. Its space-group type is Pm-3m, No. 221.

a b c (Å): 4.9707 4.9707 4.9707
angles (deg): 90.00 90.00 90.00
Fractional coordinates of all 5 atoms:
K1 0.0000 0.0000 0.0000
Sb1 0.5000 0.5000 0.5000
Os1 0.0000 0.5000 0.5000
Os2 0.5000 0.0000 0.5000
Os3 0.5000 0.5000 0.0000

---

# Cr5C

An optimized crystal structure of Cr5C (GGA-PBE, the Alexandria database).

Values from the calculation:
The value obtained for the volume is 10.67 A^3/atom. The value obtained for the density of states at the Fermi level is 3.64 states/eV per cell. The energy of formation is 0.82 eV/f.u. For the final energy, the calculation gives -9.4193 eV/atom. The density is 7.1 g cm⁻³. The calculation puts the relative energy among the computed polymorphs at 0.0 kJ per mole of atoms. Its space-group type is Cm, No. 8.

a b c (Å): 4.5189 4.5189 5.4125
angles (deg): 96.48 96.48 35.68
Fractional coordinates of all 6 atoms:
Cr1 0.0000 0.0000 0.0000
Cr2 0.0629 0.0629 0.4356
Cr3 0.3045 0.3045 0.1836
Cr4 0.3695 0.3695 0.6574
Cr5 0.6780 0.6780 0.8154
C1 0.7430 0.7430 0.4413